The following is a DFT calculation (PBE) of a relaxed structure of DyZn6Rh4.

## Properties
Symmetry ... I-42m (121)
ΔE_f ... -0.201 eV per atom

The structure in POSCAR format:
```
DyZn6Rh4
1.0
-3.259 3.259 4.700
3.259 -3.259 4.700
3.259 3.259 -4.700
Dy Zn Rh
1 6 4
Direct
0.000 0.000 0.000
0.000 0.500 0.500
0.115 0.115 0.635
0.481 0.481 0.365
0.500 0.000 0.500
0.519 0.885 0.000
0.885 0.519 0.000
0.246 0.605 0.000
0.395 0.395 0.641
0.605 0.246 0.000
0.754 0.754 0.359
```

The following is a DFT calculation (PBE) of a relaxed structure of PrThHgPd.

## Properties
Symmetry ... F-43m (216)
ΔE_f ... -0.432 eV per atom

The structure in POSCAR format:
```
PrThHgPd
1.0
0.000 3.743 3.743
3.743 0.000 3.743
3.743 3.743 0.000
Pr Th Hg Pd
1 1 1 1
Direct
0.000 0.000 0.000
0.500 0.500 0.500
0.750 0.750 0.750
0.250 0.250 0.250
```

The following is a DFT calculation (PBE) of a relaxed structure of Pm3SiB.

## Properties
Symmetry ... Pm-3m (221)
Uncorrected formation energy ... -0.13 eV/atom

The structure in POSCAR format:
```
Pm3SiB
1.0
5.071 0.000 0.000
0.000 5.071 0.000
0.000 0.000 5.071
Pm Si B
3 1 1
Direct
0.000 0.000 0.500
0.000 0.500 0.000
0.500 0.000 0.000
0.500 0.500 0.500
0.000 0.000 0.000
```

The following is a DFT calculation (PBE) of a relaxed structure of Li3Tl2HgPd3.

## Properties
Symmetry ... P-62m (189)
ΔE_f ... -0.324 eV per atom

The structure in POSCAR format:
```
Li3Tl2HgPd3
1.0
7.741 0.000 0.000
-3.871 6.704 0.000
0.000 0.000 3.051
Li Tl Hg Pd
3 2 1 3
Direct
0.000 0.709 0.000
0.291 0.291 0.000
0.709 0.000 0.000
0.333 0.667 0.000
0.667 0.333 0.000
0.000 0.000 0.500
0.000 0.371 0.500
0.371 0.000 0.500
0.629 0.629 0.500
```